# YAl8Ni4

Crystalline YAl8Ni4 at its relaxed geometry (PBE, the Alexandria database).

Properties
DOS(E_F) = 8.74 states/eV per cell
formation energy = -597.0 meV/atom

```
data_YAl8Ni4
_symmetry_space_group_name_H-M 'I 4/m m m'
_symmetry_Int_Tables_number 139
_symmetry_space_group_name_Hall '-I 4 2'
_cell_length_a 8.591
_cell_length_b 8.591
_cell_length_c 5.112
_cell_angle_alpha 90.00
_cell_angle_beta 90.00
_cell_angle_gamma 90.00
loop_
_atom_site_label
_atom_site_type_symbol
_atom_site_fract_x
_atom_site_fract_y
_atom_site_fract_z
Y1 Y 0.000 0.000 0.000
Al1 Al 0.000 0.222 0.500
Al2 Al 0.000 0.344 0.000
Ni1 Ni 0.250 0.250 0.250
```

=====

# Y3AlNi8

Crystalline Y3AlNi8 at its relaxed geometry (PBE, the Alexandria database).

Properties
DOS(E_F) = 22.58 states/eV per cell
offset from the most stable computed form = 0.134 eV per atom
formation energy = -290.0 meV/atom

```
data_Y3AlNi8
_symmetry_space_group_name_H-M 'P 63/m m c'
_symmetry_Int_Tables_number 194
_symmetry_space_group_name_Hall '-P 6c 2c'
_cell_length_a 5.0855
_cell_length_b 5.0855
_cell_length_c 16.4720
_cell_angle_alpha 90.00
_cell_angle_beta 90.00
_cell_angle_gamma 120.00
loop_
_atom_site_label
_atom_site_type_symbol
_atom_site_fract_x
_atom_site_fract_y
_atom_site_fract_z
Y1 Y 0.0000 0.0000 0.2500
Y2 Y 0.3333 0.6667 0.0481
Al1 Al 0.3333 0.6667 0.2500
Ni1 Ni 0.0000 0.0000 0.0000
Ni2 Ni 0.1742 0.3484 0.6181
Ni3 Ni 0.3333 0.6667 0.7500
```

=====

no.,electronic total energy (eV/atom)
1,-5.176
2,-6.072